Here is a geometry-optimized NbTl2Sn structure from Alexandria via LeMat-Bulk. Energies are from PBE-GGA.

```
NbTl2Sn
1.0
-3.264 -1.970 7.474
-3.840 -6.628 -3.424
-1.189 -5.973 2.616
Tl Nb Sn
4 2 2
Cartesian
-3.659 -7.881 3.389 Tl
-2.730 -3.500 4.698 Tl
-3.193 -5.935 -0.352 Tl
-7.005 -11.826 5.598 Tl
-4.291 -8.450 0.609 Nb
-3.552 -4.299 2.025 Nb
0.000 0.000 0.000 Sn
-4.003 -6.121 6.058 Sn
```

D(E_F) ... 5.180 states/eV/f.u.
ΔH_f (0 K) ... 0.616 eV per atom
Uncorrected energy ... -32.686 eV for the cell shown
Polymorph energy (0 for the lowest one) ... 0.000 eV per atom

Here is a geometry-optimized Nb4Tl2Sn structure from Alexandria via LeMat-Bulk. Energies are from PBE-GGA.

```
Nb4Tl2Sn
1.0
-0.624 0.810 4.880
-4.866 -0.985 -0.458
-1.428 -7.220 3.563
Tl Nb Sn
2 4 1
Cartesian
-2.402 -1.942 2.562 Tl
-4.515 -5.453 5.422 Tl
-2.433 -0.493 -0.229 Nb
-1.894 -4.696 3.084 Nb
-5.023 -2.699 4.900 Nb
-0.312 0.405 2.440 Nb
0.000 0.000 0.000 Sn
```

D(E_F) ... 10.171 states/eV/f.u.
ΔH_f (0 K) ... 1.413 eV per atom
Uncorrected energy ... -39.124 eV for the cell shown

Here is a geometry-optimized NbTl2ZnSn structure from Alexandria via LeMat-Bulk. Energies are from PBE-GGA.

```
NbTl2ZnSn
1.0
5.810 0.000 0.000
0.000 5.518 0.000
0.000 0.000 5.810
Sn Tl Zn Nb
1 2 1 1
Cartesian
0.000 0.000 0.000 Sn
2.905 0.000 0.000 Tl
0.000 0.000 2.905 Tl
2.905 2.759 2.905 Zn
0.000 2.759 0.000 Nb
```

D(E_F) ... 4.322 states/eV/f.u.
ΔH_f (0 K) ... 1.086 eV per atom
Uncorrected energy ... -14.649 eV for the cell shown
Polymorph energy (0 for the lowest one) ... 0.257 eV per atom

Here is a geometry-optimized NbTl2ZnSn structure from Alexandria via LeMat-Bulk. Energies are from PBE-GGA.

```
NbTl2ZnSn
1.0
-3.966 -3.106 0.839
-0.173 -1.141 -5.041
3.212 -3.894 0.771
Tl Nb Zn Sn
2 1 1 1
Cartesian
-1.983 -1.553 0.420 Tl
1.606 -1.947 0.386 Tl
-0.087 -0.571 -2.520 Nb
0.000 0.000 0.000 Zn
-0.463 -4.071 -1.715 Sn
```

D(E_F) ... 5.076 states/eV/f.u.
ΔH_f (0 K) ... 0.829 eV per atom
Uncorrected energy ... -15.935 eV for the cell shown
Polymorph energy (0 for the lowest one) ... 0.000 eV per atom

Here is a geometry-optimized Nb2TlZnSn structure from Alexandria via LeMat-Bulk. Energies are from PBE-GGA.

```
Nb2TlZnSn
1.0
4.928 0.000 0.000
0.000 4.787 0.000
0.000 0.000 4.928
Nb Sn Tl Zn
2 1 1 1
Cartesian
2.464 0.000 0.000 Nb
0.000 0.000 2.464 Nb
2.464 2.394 2.464 Sn
0.000 2.394 0.000 Tl
0.000 0.000 0.000 Zn
```

D(E_F) ... 5.473 states/eV/f.u.
ΔH_f (0 K) ... 1.062 eV per atom
Uncorrected energy ... -22.470 eV for the cell shown

Here is a geometry-optimized ZrNb2TlSn structure from Alexandria via LeMat-Bulk. Energies are from PBE-GGA.

```
ZrNb2TlSn
1.0
5.114 0.000 0.000
0.000 5.266 0.000
0.000 0.000 5.114
Nb Sn Tl Zr
2 1 1 1
Cartesian
2.557 0.000 0.000 Nb
0.000 0.000 2.557 Nb
2.557 2.633 2.557 Sn
0.000 0.000 0.000 Tl
0.000 2.633 0.000 Zr
```

D(E_F) ... 8.537 states/eV/f.u.
ΔH_f (0 K) ... 1.469 eV per atom
Uncorrected energy ... -27.710 eV for the cell shown

Here is a geometry-optimized TmNb6Sn6 structure from Alexandria via LeMat-Bulk. Energies are from PBE-GGA.

```
TmNb6Sn6
1.0
-3.902 -4.204 0.828
1.122 -3.771 6.425
-5.939 2.309 4.019
Nb Sn Tm
6 6 1
Cartesian
-4.920 -0.948 2.423 Nb
-1.390 -3.988 3.626 Nb
-2.609 -4.340 6.232 Nb
-6.110 -1.326 5.039 Nb
-2.969 1.155 2.010 Nb
0.561 -1.885 3.212 Nb
-4.512 -2.374 7.246 Sn
-6.617 -4.014 9.281 Sn
-1.170 -1.797 5.644 Sn
-3.646 0.335 4.800 Sn
-2.101 -1.652 1.991 Sn
-4.206 -3.292 4.025 Sn
0.000 0.000 0.000 Tm
```

D(E_F) ... 4.002 states/eV/f.u.
ΔH_f (0 K) ... -0.302 eV per atom
Uncorrected energy ... -92.839 eV for the cell shown

Here is a geometry-optimized UNb2Sn structure from Alexandria via LeMat-Bulk. Energies are from PBE-GGA.

```
UNb2Sn
1.0
3.357 0.000 0.000
1.678 2.907 0.000
1.678 0.969 8.515
U Nb Sn
1 2 1
Cartesian
0.000 0.000 0.000 U
1.678 0.969 2.013 Nb
5.035 2.907 6.502 Nb
3.357 1.938 4.257 Sn
```

D(E_F) ... 7.469 states/eV/f.u.
ΔH_f (0 K) ... 0.360 eV per atom
Uncorrected energy ... -33.992 eV for the cell shown
Polymorph energy (0 for the lowest one) ... 0.366 eV per atom

Here is a geometry-optimized UNb2Sn structure from Alexandria via LeMat-Bulk. Energies are from PBE-GGA.

```
UNb2Sn
1.0
-1.185 1.703 -3.033
-3.143 -3.384 -0.672
-3.104 2.378 2.548
Nb U Sn
2 1 1
Cartesian
-1.572 -1.692 -0.336 Nb
-1.552 1.189 1.274 Nb
-3.717 0.348 -0.578 U
-0.593 0.852 -1.517 Sn
```

D(E_F) ... 7.106 states/eV/f.u.
ΔH_f (0 K) ... -0.006 eV per atom
Uncorrected energy ... -35.455 eV for the cell shown
Polymorph energy (0 for the lowest one) ... 0.000 eV per atom

Here is a geometry-optimized Nb4V2Sn structure from Alexandria via LeMat-Bulk. Energies are from PBE-GGA.

```
Nb4V2Sn
1.0
5.014 0.000 0.000
0.000 5.014 0.000
2.507 2.507 6.254
Nb V Sn
4 2 1
Cartesian
2.507 2.507 3.572 Nb
2.507 0.000 0.000 Nb
5.014 5.014 2.681 Nb
0.000 2.507 0.000 Nb
5.014 5.014 4.883 V
2.507 2.507 1.371 V
0.000 0.000 0.000 Sn
```

D(E_F) ... 10.037 states/eV/f.u.
ΔH_f (0 K) ... 1.433 eV per atom
Uncorrected energy ... -52.486 eV for the cell shown